<w>
Computed, not measured: a geometry-optimized YHoScTl structure at the PBE level of DFT.

The structure belongs to space group F-43m (No. 216); the cell edges are 7.5816, 7.5816 and 7.5816 Å and the angles 90.00°, 90.00° and 90.00°. Symmetry generates all atoms from Y at (0.0000, 0.0000, 0.0000), Ho at (0.0000, 0.0000, 0.5000), Sc at (0.2500, 0.2500, 0.2500) and Tl at (0.2500, 0.2500, 0.7500).

Its volume is 435.8 Å³ per cell. For the density of states at the Fermi level, the calculation gives 22.2 states/eV per cell. As for the spin magnetization: 5.913 μB per cell.

<x>
Computed, not measured: a geometry-optimized YHoScTl structure at the PBE level of DFT.

The structure belongs to space group Pmmm (No. 47); the cell edges are 4.7065, 4.7657 and 4.7802 Å and the angles 90.00°, 90.00° and 90.00°. Symmetry generates all atoms from Y at (0.0000, 0.0000, 0.0000), Ho at (0.0000, 0.5000, 0.5000), Sc at (0.5000, 0.0000, 0.5000) and Tl at (0.5000, 0.5000, 0.0000).

Its volume is 107.2 Å³ per cell. For the density of states at the Fermi level, the calculation gives 4.3 states/eV per cell. As for the spin magnetization: 1.311 μB per cell.

Unit: meV/atom. Relative energies: <w> 115; <x> 0.

<w>
Computed, not measured: a geometry-optimized HoScTlZn structure at the PBE level of DFT.

The structure belongs to space group P4mm (No. 99); the cell edges are 3.5607, 3.5607 and 7.1782 Å and the angles 90.00°, 90.00° and 90.00°. Symmetry generates all atoms from Ho at (0.0000, 0.0000, 0.0000), Sc at (0.0000, 0.0000, 0.5442), Tl at (0.5000, 0.5000, 0.2888) and Zn at (0.5000, 0.5000, 0.7523).

Its volume is 91.0 Å³ per cell. For the density of states at the Fermi level, the calculation gives 3.0 states/eV per cell. As for the spin magnetization: 0.000 μB per cell.

<x>
Computed, not measured: a geometry-optimized HoScTlZn structure at the PBE level of DFT.

The structure belongs to space group F-43m (No. 216); the cell edges are 7.1729, 7.1729 and 7.1729 Å and the angles 90.00°, 90.00° and 90.00°. Symmetry generates all atoms from Ho at (0.0000, 0.0000, 0.0000), Sc at (0.0000, 0.0000, 0.5000), Tl at (0.2500, 0.2500, 0.2500) and Zn at (0.2500, 0.2500, 0.7500).

Its volume is 369.1 Å³ per cell. For the density of states at the Fermi level, the calculation gives 18.1 states/eV per cell. As for the spin magnetization: 0.390 μB per cell.

Unit: meV/atom. Relative energies: <w> 0; <x> 32.